Record 1
First-principles (PBE-GGA) data for a relaxed structure of RbPr3Nd2Se6, as listed in Alexandria.

Output
Its total magnetic moment is 0.00 μB/cell. The calculation puts the uncorrected formation energy at -1.76 eV/atom. The space group is No. 12.

Lattice parameters (Å, degrees): 9.6642 9.6642 8.7774 103.02 103.02 25.54
Positions (direct):
Rb 0.0000 0.0000 0.0000
Pr 0.0000 0.0000 0.5000
Pr 0.3375 0.3375 0.1781
Pr 0.6625 0.6625 0.8219
Nd 0.3301 0.3301 0.6550
Nd 0.6699 0.6699 0.3450
Se 0.1656 0.1656 0.5825
Se 0.1745 0.1745 0.0882
Se 0.4961 0.4961 0.7307
Se 0.5039 0.5039 0.2693
Se 0.8255 0.8255 0.9118
Se 0.8344 0.8344 0.4175

=====

Record 2
First-principles (PBE-GGA) data for a relaxed structure of LiPAu, as listed in Alexandria.

Output
Its total magnetic moment is 0.00 μB/cell. The space group is No. 194. The energy of formation comes out at -295 meV per atom.

Lattice parameters (Å, degrees): 4.3173 4.3173 5.8900 90.00 90.00 120.00
Positions (direct):
Li 0.0000 0.0000 0.0000
Li 0.0000 0.0000 0.5000
P 0.3333 0.6667 0.2500
P 0.6667 0.3333 0.7500
Au 0.3333 0.6667 0.7500
Au 0.6667 0.3333 0.2500

=====

Record 3
First-principles (PBE-GGA) data for a relaxed structure of Tb2NdMg, as listed in Alexandria.

Output
Its total magnetic moment is 0.00 μB/cell. The space group is No. 8. The excess energy over the best structure of this formula in the dataset is 79 meV per atom. The energy of formation comes out at 46 meV per atom.

Lattice parameters (Å, degrees): 3.5568 3.5568 11.5646 98.87 98.87 59.85
Positions (direct):
Tb 0.0000 0.0000 0.0000
Tb 0.1606 0.1606 0.4827
Nd 0.5799 0.5799 0.7400
Mg 0.7479 0.7479 0.2410

=====

Record 4
First-principles (PBE-GGA) data for a relaxed structure of Pr2DyPaAs4, as listed in Alexandria.

Output
Its total magnetic moment is 0.00 μB/cell. The space group is No. 10. The energy of formation comes out at -1406 meV per atom.

Lattice parameters (Å, degrees): 7.2428 4.2026 7.3031 90.00 109.40 90.00
Positions (direct):
Pr 0.0000 0.0000 0.0000
Pr 0.5000 0.5000 0.0000
Dy 0.0000 0.5000 0.5000
Pa 0.5000 0.0000 0.5000
As 0.2492 0.0000 0.7346
As 0.2578 0.5000 0.2660
As 0.7422 0.5000 0.7340
As 0.7508 0.0000 0.2654

=====

Record 5
First-principles (PBE-GGA) data for a relaxed structure of PrBe2Pt10, as listed in Alexandria.

Output
Its total magnetic moment is 0.00 μB/cell. The space group is No. 69. The energy of formation comes out at -457 meV per atom.

Lattice parameters (Å, degrees): 8.9236 6.9446 6.7231 81.50 50.33 48.17
Positions (direct):
Pr 0.0000 0.0000 0.0000
Be 0.0000 0.5000 0.0000
Be 0.5000 0.0000 0.5000
Pt 0.0000 0.0000 0.5000
Pt 0.0130 0.3372 0.6628
Pt 0.2694 0.4827 0.5173
Pt 0.3372 0.0130 0.9870
Pt 0.4827 0.2694 0.7306
Pt 0.5000 0.5000 0.0000
Pt 0.5173 0.7306 0.2694
Pt 0.6628 0.9870 0.0130
Pt 0.7306 0.5173 0.4827
Pt 0.9870 0.6628 0.3372

=====

Record 6
First-principles (PBE-GGA) data for a relaxed structure of LiTaSn2, as listed in Alexandria.

Output
Its total magnetic moment is 0.00 μB/cell. The space group is No. 225. The excess energy over the best structure of this formula in the dataset is 283 meV per atom. The energy of formation comes out at 218 meV per atom.

Lattice parameters (Å, degrees): 4.8716 4.8716 4.8716 60.00 60.00 60.00
Positions (direct):
Li 0.0000 0.0000 0.0000
Ta 0.5000 0.5000 0.5000
Sn 0.2500 0.2500 0.2500
Sn 0.7500 0.7500 0.7500

=====

Record 7
First-principles (PBE-GGA) data for a relaxed structure of P2RhICl, as listed in Alexandria.

Output
Its total magnetic moment is 0.00 μB/cell. The calculation puts the uncorrected formation energy at 0.36 eV/atom. The space group is No. 123. The excess energy over the best structure of this formula in the dataset is 0 meV per atom.

Lattice parameters (Å, degrees): 4.6812 4.6812 4.9019 90.00 90.00 90.00
Positions (direct):
P 0.0000 0.5000 0.0000
P 0.5000 0.0000 0.0000
Rh 0.0000 0.0000 0.0000
I 0.5000 0.5000 0.5000
Cl 0.0000 0.0000 0.5000

=====

Record 8
First-principles (PBE-GGA) data for a relaxed structure of NdThBeZn, as listed in Alexandria.

Output
Its total magnetic moment is 0.00 μB/cell. The space group is No. 216. The energy of formation comes out at 22 meV per atom.

Lattice parameters (Å, degrees): 5.0917 5.0917 5.0917 60.00 60.00 60.00
Positions (direct):
Nd 0.0000 0.0000 0.0000
Th 0.5000 0.5000 0.5000
Be 0.2500 0.2500 0.2500
Zn 0.7500 0.7500 0.7500

=====

Q: Which value of total magnetic moment does entry 5 give?
A: 0.00 μB/cell